Model w:
{
  "formula": "PuGePb",
  "functional": "PBE",
  "state": "relaxed",
  "lattice_angstrom": [[-3.899, -1.962, -0.229], [1.113, -1.880, -2.844], [3.758, -7.993, 4.492]],
  "species": ["Ge", "Pb", "Pb", "Pu", "Ge", "Pu"],
  "fractional_positions": [[0.250, 0.538, 0.923], [0.750, 0.296, 0.408], [0.250, 0.704, 0.592], [0.250, 0.905, 0.189], [0.750, 0.462, 0.077], [0.750, 0.095, 0.811]],
  "volume_a3_per_atom": 25.5
}



Model x:
{
  "formula": "PuGePb",
  "functional": "PBE",
  "state": "relaxed",
  "lattice_angstrom": [[-1.468, -1.388, -2.673], [3.680, -3.609, -0.146], [-4.280, -0.793, 2.763]],
  "species": ["Pb", "Ge", "Pu"],
  "fractional_positions": [[0.167, 0.333, 0.667], [0.166, 0.000, 0.000], [0.667, 0.667, 0.333]],
  "volume_a3_per_atom": 25.7
}



Which of them is the least stable? Correct choice: model x.



Model w:
{
  "formula": "Rb3GePb",
  "functional": "PBE",
  "state": "relaxed",
  "lattice_angstrom": [[6.716, 0.000, 0.000], [0.000, 6.716, 0.000], [0.000, 0.000, 6.716]],
  "species": ["Rb", "Rb", "Ge", "Rb", "Pb"],
  "fractional_positions": [[0.500, 0.000, 0.000], [0.000, 0.500, 0.000], [0.000, 0.000, 0.000], [0.000, 0.000, 0.500], [0.500, 0.500, 0.500]],
  "volume_a3_per_atom": 60.6
}



Model x:
{
  "formula": "Rb3GePb",
  "functional": "PBE",
  "state": "relaxed",
  "lattice_angstrom": [[9.062, 0.000, 0.324], [0.000, 7.759, 0.000], [-0.859, 0.000, 14.468]],
  "species": ["Rb", "Rb", "Rb", "Pb", "Rb", "Rb", "Rb", "Rb", "Rb", "Ge", "Pb", "Pb", "Ge", "Rb", "Rb", "Rb", "Ge", "Pb", "Rb", "Ge"],
  "fractional_positions": [[0.134, 0.820, 0.069], [0.866, 0.820, 0.431], [0.510, 0.188, 0.381], [0.913, 0.335, 0.345], [0.744, 0.641, 0.158], [0.510, 0.812, 0.881], [0.490, 0.812, 0.619], [0.744, 0.359, 0.658], [0.490, 0.188, 0.119], [0.128, 0.075, 0.295], [0.087, 0.665, 0.655], [0.087, 0.335, 0.155], [0.128, 0.925, 0.795], [0.256, 0.359, 0.842], [0.134, 0.180, 0.569], [0.866, 0.180, 0.931], [0.872, 0.925, 0.705], [0.913, 0.665, 0.845], [0.256, 0.641, 0.342], [0.872, 0.075, 0.205]],
  "volume_a3_per_atom": 51.0
}



Which of them is the least stable? Correct choice: model w.



Model w:
{
  "formula": "RbGePb",
  "functional": "PBE",
  "state": "relaxed",
  "lattice_angstrom": [[6.106, 0.000, 0.000], [0.000, 4.604, 0.000], [0.000, -2.302, 3.988]],
  "species": ["Pb", "Rb", "Ge"],
  "fractional_positions": [[0.237, 0.333, 0.667], [0.684, 0.667, 0.333], [0.079, 0.000, 0.000]],
  "volume_a3_per_atom": 37.4
}



Model x:
{
  "formula": "RbGePb",
  "functional": "PBE",
  "state": "relaxed",
  "lattice_angstrom": [[3.772, 0.000, 0.000], [0.000, 3.772, 0.000], [-1.886, -1.886, 6.968]],
  "species": ["Ge", "Rb", "Pb"],
  "fractional_positions": [[0.309, 0.309, 0.617], [0.990, 0.990, 0.980], [0.701, 0.701, 0.402]],
  "volume_a3_per_atom": 33.0
}



Model y:
{
  "formula": "RbGePb",
  "functional": "PBE",
  "state": "relaxed",
  "lattice_angstrom": [[4.689, 0.000, 0.000], [0.000, 6.888, 0.000], [0.000, 0.000, 7.871]],
  "species": ["Pb", "Rb", "Pb", "Rb", "Ge", "Ge"],
  "fractional_positions": [[0.000, 0.765, 0.616], [0.500, 0.500, 0.301], [0.000, 0.235, 0.616], [0.500, 0.000, 0.955], [0.500, 0.000, 0.470], [0.000, 0.000, 0.304]],
  "volume_a3_per_atom": 42.4
}



Model z:
{
  "formula": "RbGePb",
  "functional": "PBE",
  "state": "relaxed",
  "lattice_angstrom": [[4.034, 0.000, 0.001], [-0.002, 10.274, 2.292], [-0.001, 3.921, 5.991]],
  "species": ["Ge", "Rb", "Pb", "Ge", "Pb", "Rb"],
  "fractional_positions": [[0.828, 0.500, 0.829], [0.327, 0.254, 0.790], [0.828, 0.164, 0.396], [0.328, 0.499, 0.077], [0.327, 0.835, 0.510], [0.827, 0.745, 0.116]],
  "volume_a3_per_atom": 35.3
}



Which of them is the least stable? Correct choice: model x.



Model w:
{
  "formula": "RbGePb",
  "functional": "PBE",
  "state": "relaxed",
  "lattice_angstrom": [[13.708, 0.000, 0.000], [0.000, 7.131, 0.000], [0.000, 0.000, 4.398]],
  "species": ["Ge", "Ge", "Pb", "Rb", "Pb", "Rb", "Rb", "Rb", "Ge", "Pb", "Ge", "Pb"],
  "fractional_positions": [[0.596, 0.500, 0.000], [0.404, 0.500, 0.000], [0.000, 0.762, 0.000], [0.700, 0.000, 0.000], [0.000, 0.238, 0.000], [0.200, 0.500, 0.500], [0.300, 0.000, 0.000], [0.800, 0.500, 0.500], [0.096, 0.000, 0.500], [0.500, 0.738, 0.500], [0.904, 0.000, 0.500], [0.500, 0.262, 0.500]],
  "volume_a3_per_atom": 35.8
}



Model x:
{
  "formula": "RbGePb",
  "functional": "PBE",
  "state": "relaxed",
  "lattice_angstrom": [[13.868, 0.000, 0.000], [0.000, 7.579, 0.000], [0.000, 0.000, 4.312]],
  "species": ["Pb", "Rb", "Rb", "Pb", "Ge", "Ge", "Pb", "Ge", "Ge", "Rb", "Pb", "Rb"],
  "fractional_positions": [[0.619, 0.000, 0.000], [0.352, 0.500, 0.000], [0.852, 0.000, 0.500], [0.881, 0.500, 0.500], [0.000, 0.679, 0.000], [0.000, 0.321, 0.000], [0.119, 0.500, 0.500], [0.500, 0.821, 0.500], [0.500, 0.179, 0.500], [0.648, 0.500, 0.000], [0.381, 0.000, 0.000], [0.148, 0.000, 0.500]],
  "volume_a3_per_atom": 37.8
}



Model y:
{
  "formula": "RbGePb",
  "functional": "PBE",
  "state": "relaxed",
  "lattice_angstrom": [[-4.337, -5.953, 1.937], [3.064, -1.342, 2.736], [-1.401, 13.131, 8.012]],
  "species": ["Rb", "Pb", "Pb", "Rb", "Ge", "Rb", "Ge", "Pb", "Ge", "Rb", "Pb", "Ge"],
  "fractional_positions": [[0.044, 0.000, 0.959], [0.953, 0.000, 0.648], [0.591, 0.500, 0.534], [0.417, 0.000, 0.306], [0.578, 0.500, 0.170], [0.417, 0.500, 0.806], [0.843, 0.000, 0.252], [0.591, 0.000, 0.034], [0.843, 0.500, 0.752], [0.044, 0.500, 0.459], [0.953, 0.500, 0.148], [0.578, 0.000, 0.670]],
  "volume_a3_per_atom": 37.1
}



Which of them is the least stable? Correct choice: model x.



Model w:
{
  "formula": "ReGe2Pb2",
  "functional": "PBE",
  "state": "relaxed",
  "lattice_angstrom": [[-2.671, -1.872, -2.304], [1.003, -3.486, 1.669], [-6.230, -1.640, 5.095]],
  "species": ["Re", "Pb", "Ge", "Pb", "Ge"],
  "fractional_positions": [[0.000, 0.000, 0.000], [0.750, 0.250, 0.500], [0.580, 0.580, 0.840], [0.250, 0.750, 0.500], [0.420, 0.420, 0.160]],
  "volume_a3_per_atom": 24.6
}



Model x:
{
  "formula": "ReGe2Pb2",
  "functional": "PBE",
  "state": "relaxed",
  "lattice_angstrom": [[-2.409, 5.356, 3.096], [-5.581, -0.448, -3.568], [-2.114, -3.086, 3.694]],
  "species": ["Re", "Ge", "Pb", "Pb", "Ge", "Re", "Ge", "Pb", "Pb", "Ge"],
  "fractional_positions": [[0.500, 0.500, 0.000], [0.157, 0.343, 0.000], [0.180, 0.680, 0.500], [0.820, 0.320, 0.500], [0.657, 0.157, 0.000], [0.000, 0.000, 0.000], [0.843, 0.657, 0.000], [0.320, 0.180, 0.500], [0.680, 0.820, 0.500], [0.343, 0.843, 0.000]],
  "volume_a3_per_atom": 23.2
}



Which of them is the least stable? Correct choice: model w.



Model w:
{
  "formula": "Ge2Rh2Pb",
  "functional": "PBE",
  "state": "relaxed",
  "lattice_angstrom": [[-0.209, -4.191, 1.172], [0.805, -1.191, -4.113], [5.150, -2.669, -0.527]],
  "species": ["Ge", "Rh", "Pb", "Ge", "Rh"],
  "fractional_positions": [[0.629, 0.629, 0.741], [0.250, 0.750, 0.500], [0.000, 0.000, 0.000], [0.371, 0.371, 0.259], [0.750, 0.250, 0.500]],
  "volume_a3_per_atom": 18.8
}



Model x:
{
  "formula": "Ge2Rh2Pb",
  "functional": "PBE",
  "state": "relaxed",
  "lattice_angstrom": [[-2.221, 7.292, 0.848], [-6.759, -1.685, -3.210], [-1.112, -0.651, 2.684]],
  "species": ["Ge", "Pb", "Ge", "Ge", "Rh", "Rh", "Rh", "Ge", "Pb", "Rh"],
  "fractional_positions": [[0.144, 0.644, 0.500], [0.000, 0.000, 0.000], [0.356, 0.144, 0.500], [0.644, 0.856, 0.500], [0.859, 0.641, 0.000], [0.141, 0.359, 0.000], [0.641, 0.141, 0.000], [0.856, 0.356, 0.500], [0.500, 0.500, 0.000], [0.359, 0.859, 0.000]],
  "volume_a3_per_atom": 17.5
}



Which of them is the least stable? Correct choice: model x.



Model w:
{
  "formula": "Ge2RuPb2",
  "functional": "PBE",
  "state": "relaxed",
  "lattice_angstrom": [[-5.925, -2.728, 0.936], [2.569, -4.020, 4.546], [-1.019, 3.462, 3.638]],
  "species": ["Ge", "Ge", "Ru", "Pb", "Pb", "Pb", "Ru", "Ge", "Pb", "Ge"],
  "fractional_positions": [[0.648, 0.148, 0.000], [0.852, 0.648, 0.000], [0.000, 0.000, 0.000], [0.679, 0.821, 0.500], [0.179, 0.679, 0.500], [0.321, 0.179, 0.500], [0.500, 0.500, 0.000], [0.352, 0.852, 0.000], [0.821, 0.321, 0.500], [0.148, 0.352, 0.000]],
  "volume_a3_per_atom": 22.3
}



Model x:
{
  "formula": "Ge2RuPb2",
  "functional": "PBE",
  "state": "relaxed",
  "lattice_angstrom": [[-1.886, 4.815, -5.124], [2.941, -4.279, -5.103], [-3.979, -2.114, -0.522]],
  "species": ["Ge", "Pb", "Pb", "Ge", "Ru", "Pb", "Ru", "Ge", "Pb", "Ge"],
  "fractional_positions": [[0.641, 0.859, 0.500], [0.166, 0.334, 0.000], [0.834, 0.666, 0.000], [0.359, 0.141, 0.500], [0.500, 0.500, 0.000], [0.334, 0.834, 0.000], [0.000, 0.000, 0.000], [0.141, 0.641, 0.500], [0.666, 0.166, 0.000], [0.859, 0.359, 0.500]],
  "volume_a3_per_atom": 24.0
}



Which of them is the least stable? Correct choice: model x.



Model w:
{
  "formula": "GeRuPb3",
  "functional": "PBE",
  "state": "relaxed",
  "lattice_angstrom": [[-4.219, -2.412, 2.399], [-0.512, -3.329, -4.246], [3.363, -3.532, 2.364]],
  "species": ["Ru", "Pb", "Pb", "Pb", "Ge"],
  "fractional_positions": [[0.500, 0.500, 0.500], [0.000, 0.500, 0.000], [0.000, 0.000, 0.500], [0.500, 0.000, 0.000], [0.000, 0.000, 0.000]],
  "volume_a3_per_atom": 31.8
}



Model x:
{
  "formula": "GeRuPb3",
  "functional": "PBE",
  "state": "relaxed",
  "lattice_angstrom": [[5.266, 0.000, 0.000], [0.000, 5.266, 0.000], [0.000, 0.000, 5.266]],
  "species": ["Ru", "Pb", "Pb", "Ge", "Pb"],
  "fractional_positions": [[0.000, 0.000, 0.000], [0.000, 0.500, 0.000], [0.000, 0.000, 0.500], [0.500, 0.500, 0.500], [0.500, 0.000, 0.000]],
  "volume_a3_per_atom": 29.2
}



Which of them is the least stable? Correct choice: model w.